A geometry-optimized VF2 structure, computed with GGA+U.

Geometry as POSCAR:
```
VF2
1.0
3.327 0.000 0.000
-1.663 2.881 0.000
0.000 0.000 4.557
V F
1 2
direct
0.000 0.000 0.000
0.333 0.667 0.207
0.667 0.333 0.793
```

Values from the calculation:
- E: -6.31 eV per atom
- Space group: P-3m1